[1]
This record from Alexandria via LeMat-Bulk describes a relaxed structure of ZrTlSe2. The functional is PBE.

Calculated values
The value obtained for the formation energy without anion corrections is -1.002 eV/atom. As for the total magnetization: 0.00 μB per cell.

The structure in POSCAR format:
```
ZrTlSe2
1.0
3.245 -1.873 0.000
0.000 3.747 0.000
0.000 0.000 9.280
Tl Se Zr
1 2 1
Direct
0.333 0.667 0.475 Tl
0.333 0.667 0.817 Se
0.667 0.333 0.171 Se
0.000 0.000 0.993 Zr
```


[2]
This record from Alexandria via LeMat-Bulk describes a relaxed structure of Li2PaH6. The functional is PBE.

Calculated values
As for the total magnetization: 0.00 μB per cell. Its energy above the most stable polymorph in this dataset is 0.755 eV per atom.

The structure in POSCAR format:
```
Li2PaH6
1.0
4.718 0.000 2.724
1.573 4.448 2.724
0.000 0.000 5.448
H Pa Li
6 1 2
Direct
0.273 0.727 0.273 H
0.727 0.273 0.273 H
0.273 0.727 0.727 H
0.727 0.273 0.727 H
0.727 0.727 0.273 H
0.273 0.273 0.727 H
0.000 0.000 0.000 Pa
0.750 0.750 0.750 Li
0.250 0.250 0.250 Li
```


[3]
This record from Alexandria via LeMat-Bulk describes a relaxed structure of Ge3OF. The functional is PBE.

Calculated values
The value obtained for the formation energy without anion corrections is -0.178 eV/atom. As for the total magnetization: 0.00 μB per cell. Its energy above the most stable polymorph in this dataset is 0.000 eV per atom.

The structure in POSCAR format:
```
Ge3OF
1.0
-0.736 1.306 4.224
-2.740 -3.495 0.603
3.470 -2.483 1.373
Ge O F
3 1 1
Direct
0.000 0.500 0.000 Ge
0.000 0.000 0.500 Ge
0.500 0.000 0.000 Ge
0.000 0.000 0.000 O
0.500 0.500 0.500 F
```


[4]
This record from Alexandria via LeMat-Bulk describes a relaxed structure of Mn2CoP. The functional is PBE.

Calculated values
The formation energy is -22 kJ per mole of atoms. As for the total magnetization: 0.31 μB per cell.

The structure in POSCAR format:
```
Mn2CoP
1.0
4.319 0.037 0.000
1.404 4.085 0.000
-2.862 -2.061 2.494
Co Mn P
1 2 1
Direct
0.750 0.250 0.500 Co
0.000 0.000 0.000 Mn
0.250 0.750 0.500 Mn
0.500 0.500 0.000 P
```


Copy entry 2 word for word.
This record from Alexandria via LeMat-Bulk describes a relaxed structure of Li2PaH6. The functional is PBE.

Calculated values
As for the total magnetization: 0.00 μB per cell. Its energy above the most stable polymorph in this dataset is 0.755 eV per atom.

The structure in POSCAR format:
```
Li2PaH6
1.0
4.718 0.000 2.724
1.573 4.448 2.724
0.000 0.000 5.448
H Pa Li
6 1 2
Direct
0.273 0.727 0.273 H
0.727 0.273 0.273 H
0.273 0.727 0.727 H
0.727 0.273 0.727 H
0.727 0.727 0.273 H
0.273 0.273 0.727 H
0.000 0.000 0.000 Pa
0.750 0.750 0.750 Li
0.250 0.250 0.250 Li
```